[1]
This record from the Open Quantum Materials Database describes DyYRe after structural relaxation. The functional is GGA-PBE.

Cell: 6.7489 6.7489 6.7489 Å, 90.00 90.00 90.00°
Space group F-43m (No. 216)
Inequivalent atoms, fractional coordinates:
1 Dy 0.0000 0.0000 0.0000 x4
2 Y 0.2500 0.2500 0.2500 x4
3 Re 0.2500 0.2500 0.7500 x4

Computed properties:
For the energy above the most stable polymorph in this dataset, the calculation gives 0 meV/atom. The value obtained for the calculated formation energy is 1.1551 eV per atom.


[2]
This record from the Open Quantum Materials Database describes Hf2Si2Ag after structural relaxation. The functional is GGA-PBE.

Cell: 4.4320 4.4320 10.5711 Å, 90.00 90.00 90.00°
Space group I4/mmm (No. 139)
Inequivalent atoms, fractional coordinates:
1 Hf 0.0000 0.5000 0.2500 x4
2 Si 0.0000 0.0000 0.1091 x4
3 Ag 0.0000 0.0000 0.5000 x2

Computed properties:
For the total energy, the calculation gives -6.64 eV per atom.


[3]
This record from the Open Quantum Materials Database describes Nd3Sn4Pb3 after structural relaxation. The functional is GGA-PBE.

Cell: 4.6148 26.1371 4.7758 Å, 90.00 90.00 90.00°
Space group Cmmm (No. 65)
Inequivalent atoms, fractional coordinates:
1 Nd 0.0000 0.0000 0.0000 x2
2 Nd 0.0000 0.1877 0.0000 x4
3 Sn 0.0000 0.2894 0.5000 x4
4 Sn 0.0000 0.4040 0.0000 x4
5 Pb 0.0000 0.0977 0.5000 x4
6 Pb 0.0000 0.5000 0.5000 x2

Computed properties:
For the total energy, the calculation gives -4.67 eV per atom.


[4]
This record from the Open Quantum Materials Database describes PuCoB after structural relaxation. The functional is GGA-PBE.

Cell: 5.6227 5.6227 5.6227 Å, 90.00 90.00 90.00°
Space group F-43m (No. 216)
Inequivalent atoms, fractional coordinates:
1 Pu 0.0000 0.0000 0.0000 x4
2 Co 0.0000 0.0000 0.5000 x4
3 B 0.2500 0.2500 0.2500 x4

Computed properties:
For the energy above the most stable polymorph in this dataset, the calculation gives 0 meV/atom.